1.
VASP calculation (SCAN) on a PBEsol-optimized structure of Co7Ir.

a b c (Å): 4.9709 4.9709 4.9709
angles (deg): 60.00 60.00 60.00
Closest atoms and distances in Å follow each position.
Atoms (fractional coordinates):
Co 0.5000 0.5000 0.0000  10 Co 2.49, 2 Ir 2.49
Co 0.5000 0.0000 0.0000  10 Co 2.49, 2 Ir 2.49
Co 0.0000 0.0000 0.5000  10 Co 2.49, 2 Ir 2.49
Co 0.5000 0.0000 0.5000  10 Co 2.49, 2 Ir 2.49
Co 0.0000 0.5000 0.0000  10 Co 2.49, 2 Ir 2.49
Co 0.5000 0.5000 0.5000  12 Co 2.49
Co 0.0000 0.5000 0.5000  10 Co 2.49, 2 Ir 2.49
Ir 0.0000 0.0000 0.0000  12 Co 2.49

Output
uncorrected energy = -24.020 eV/atom
ΔH_f (0 K) = 0.0091 eV per atom
crystal system = cubic


2.
VASP calculation (SCAN) on a PBEsol-optimized structure of CoIr.

a b c (Å): 2.6536 2.6536 6.9971
angles (deg): 90.00 90.00 90.00
Closest atoms and distances in Å follow each position.
Atoms (fractional coordinates):
Co 0.5000 0.0000 0.1103  8 Co 2.43-2.65, 4 Ir 2.58
Co 0.0000 0.5000 0.8897  8 Co 2.43-2.65, 4 Ir 2.58
Ir 0.5000 0.0000 0.6369  4 Co 2.58, 8 Ir 2.65-2.68
Ir 0.0000 0.5000 0.3631  4 Co 2.58, 8 Ir 2.65-2.68

Output
uncorrected energy = -44.143 eV/atom
ΔH_f (0 K) = 0.0587 eV per atom
crystal system = tetragonal


3.
VASP calculation (SCAN) on a PBEsol-optimized structure of Co5Ir.

a b c (Å): 4.0509 4.3409 4.3409
angles (deg): 120.00 90.00 90.00
Closest atoms and distances in Å follow each position.
Atoms (fractional coordinates):
Ir 0.5000 0.0000 0.0000  12 Co 2.51
Co 0.5000 0.3333 0.6667  9 Co 2.48-2.51, 3 Ir 2.51
Co 0.5000 0.6667 0.3333  9 Co 2.48-2.51, 3 Ir 2.51
Co 0.0000 0.0000 0.6581  10 Co 2.47-2.57, 2 Ir 2.51
Co 0.0000 0.6581 0.0000  10 Co 2.47-2.57, 2 Ir 2.51
Co 0.0000 0.3419 0.3419  10 Co 2.47-2.57, 2 Ir 2.51

Output
uncorrected energy = -26.241 eV/atom
energy above the most stable polymorph in this dataset = 0.000 eV per atom
ΔH_f (0 K) = 0.0295 eV per atom
crystal system = hexagonal


4.
VASP calculation (SCAN) on a PBEsol-optimized structure of CoIr.

a b c (Å): 2.6493 4.8853 6.1455
angles (deg): 104.22 90.00 105.73
Closest atoms and distances in Å follow each position.
Atoms (fractional coordinates):
Co 0.3909 0.7817 0.2744  5 Co 2.55-2.65, 7 Ir 2.55-2.58
Co 0.3331 0.6661 0.6696  7 Ir 2.53-2.60, 5 Co 2.59-2.65
Co 0.9983 0.9967 0.0002  6 Ir 2.51-2.62, 6 Co 2.55-2.65
Ir 0.6698 0.3397 0.3342  7 Co 2.55-2.62, 5 Ir 2.57-2.65
Ir 0.7250 0.4499 0.9455  7 Co 2.51-2.60, 5 Ir 2.57-2.65
Ir 0.0496 0.0992 0.6095  6 Co 2.53-2.60, 6 Ir 2.62-2.65

Output
uncorrected energy = -44.182 eV/atom
ΔH_f (0 K) = 0.0195 eV per atom
crystal system = monoclinic


5.
VASP calculation (SCAN) on a PBEsol-optimized structure of CoIr.

a b c (Å): 2.6513 4.4307 4.8951
angles (deg): 116.16 105.71 90.00
Closest atoms and distances in Å follow each position.
Atoms (fractional coordinates):
Co 0.6278 0.7958 0.2556  5 Co 2.55-2.65, 7 Ir 2.56-2.60
Co 0.3722 0.2042 0.7444  5 Co 2.55-2.65, 7 Ir 2.56-2.60
Ir 0.8775 0.7037 0.7549  7 Co 2.56-2.60, 5 Ir 2.58-2.65
Ir 0.1225 0.2963 0.2451  7 Co 2.56-2.60, 5 Ir 2.58-2.65

Output
uncorrected energy = -44.194 eV/atom
ΔH_f (0 K) = 0.0079 eV per atom
crystal system = monoclinic


6.
VASP calculation (SCAN) on a PBEsol-optimized structure of CoIr2.

a b c (Å): 3.6892 3.7217 5.9072
angles (deg): 90.00 108.20 90.00
Closest atoms and distances in Å follow each position.
Atoms (fractional coordinates):
Co 0.5814 0.7500 0.1629  10 Ir 2.60-2.66, 2 Co 2.61
Co 0.4186 0.2500 0.8371  10 Ir 2.60-2.66, 2 Co 2.61
Ir 0.7479 0.2500 0.4958  8 Ir 2.62-2.67, 4 Co 2.64-2.66
Ir 0.2521 0.7500 0.5042  8 Ir 2.62-2.67, 4 Co 2.64-2.66
Ir 0.9185 0.7500 0.8369  6 Co 2.60-2.62, 6 Ir 2.61-2.67
Ir 0.0815 0.2500 0.1631  6 Co 2.60-2.62, 6 Ir 2.61-2.67

Output
uncorrected energy = -53.149 eV/atom
ΔH_f (0 K) = 0.0186 eV per atom
crystal system = orthorhombic


Calculated mass density in order - 11.56 16.93 12.23 16.90 16.95 19.11 g cm⁻³